Record 1
Computed, not measured: a relaxed structure of Bi2Te2N at the PBE-GGA level of DFT.

Structure (POSCAR):
```
Bi2Te2N
1.0
6.513 0.000 0.000
0.000 6.513 0.000
0.000 0.000 6.428
Bi Te N
4 4 2
direct
0.249 0.251 0.000
0.251 0.751 0.000
0.749 0.249 0.000
0.751 0.749 0.000
0.250 0.250 0.500
0.250 0.750 0.500
0.750 0.250 0.500
0.750 0.750 0.500
0.000 0.000 0.500
0.500 0.500 0.500
```

Results
Its calculated volume is 27.267 A^3/atom. For the density of states at the Fermi level, the calculation gives 1.40 states/eV/f.u. Its crystal system is tetragonal. The uncorrected formation energy is 0.54 eV/atom. As for the energy relative to the lowest polymorph listed for this composition: 0.050 eV/atom.

***

Record 2
Computed, not measured: a relaxed structure of CaReAg at the PBE-GGA level of DFT.

Structure (POSCAR):
```
CaReAg
1.0
0.000 3.325 3.325
3.325 0.000 3.325
3.325 3.325 0.000
Ca Re Ag
1 1 1
direct
0.000 0.000 0.000
0.500 0.500 0.500
0.250 0.250 0.250
```

Results
The energy relative to the elements is 28.46 kcal/mol of atoms. Its calculated volume is 24.508 A^3/atom. For the density of states at the Fermi level, the calculation gives 2.69 states/eV/f.u. Its crystal system is cubic. As for the energy relative to the lowest polymorph listed for this composition: 0.631 eV/atom.

***

Record 3
Computed, not measured: a relaxed structure of Li3BiP2O8 at the PBE-GGA level of DFT.

Structure (POSCAR):
```
Li3BiP2O8
1.0
6.871 0.000 0.000
0.000 5.346 0.000
-1.151 0.000 9.365
Li Bi P O
6 2 4 16
direct
0.041 0.250 0.214
0.205 0.250 0.939
0.226 0.750 0.460
0.774 0.250 0.540
0.795 0.750 0.061
0.959 0.750 0.786
0.489 0.250 0.235
0.511 0.750 0.765
0.236 0.250 0.554
0.284 0.750 0.050
0.716 0.250 0.950
0.764 0.750 0.446
0.041 0.250 0.614
0.197 0.508 0.109
0.197 0.992 0.109
0.221 0.250 0.388
0.226 0.750 0.883
0.355 0.008 0.601
0.355 0.492 0.601
0.490 0.250 0.914
0.510 0.750 0.086
0.645 0.508 0.399
0.645 0.992 0.399
0.774 0.250 0.117
0.779 0.750 0.612
0.803 0.008 0.891
0.803 0.492 0.891
0.959 0.750 0.386
```

Results
Its calculated volume is 12.286 A^3/atom. For the density of states at the Fermi level, the calculation gives 0.00 states/eV/f.u. Its crystal system is monoclinic. The uncorrected formation energy is -2.11 eV/atom. As for the energy relative to the lowest polymorph listed for this composition: 0.065 eV/atom.

***

Record 4
Computed, not measured: a relaxed structure of NdYTe2Se at the PBE-GGA level of DFT.

Structure (POSCAR):
```
NdYTe2Se
1.0
4.371 0.000 0.000
0.000 4.371 0.000
0.000 0.000 15.674
Nd Y Te Se
2 2 4 2
direct
0.250 0.250 0.132
0.750 0.750 0.868
0.250 0.250 0.590
0.750 0.750 0.410
0.250 0.250 0.391
0.250 0.250 0.789
0.750 0.750 0.211
0.750 0.750 0.609
0.250 0.750 0.000
0.750 0.250 0.000
```

Results
Its calculated volume is 29.951 A^3/atom. For the density of states at the Fermi level, the calculation gives 1.87 states/eV/f.u. Its crystal system is tetragonal. The uncorrected formation energy is -1.43 eV/atom.

***

Record 5
Computed, not measured: a relaxed structure of PrB2Pt8 at the PBE-GGA level of DFT.

Structure (POSCAR):
```
PrB2Pt8
1.0
5.307 0.000 0.000
0.000 5.307 0.000
0.000 0.000 7.548
Pr B Pt
1 2 8
direct
0.000 0.000 0.000
0.000 0.500 0.500
0.500 0.000 0.500
0.252 0.252 0.316
0.252 0.252 0.684
0.252 0.748 0.316
0.252 0.748 0.684
0.748 0.252 0.316
0.748 0.252 0.684
0.748 0.748 0.316
0.748 0.748 0.684
```

Results
The energy relative to the elements is -0.92 kcal/mol of atoms. Its calculated volume is 19.329 A^3/atom. For the density of states at the Fermi level, the calculation gives 10.12 states/eV/f.u. Its crystal system is tetragonal.

***

Record 6
Computed, not measured: a relaxed structure of Nd2MgAs3Pd4 at the PBE-GGA level of DFT.

Structure (POSCAR):
```
Nd2MgAs3Pd4
1.0
4.220 0.000 0.000
0.000 4.220 0.000
0.000 0.000 11.051
Nd Mg As Pd
2 1 3 4
direct
0.000 0.500 0.225
0.500 0.000 0.775
0.000 0.000 0.500
0.000 0.500 0.863
0.500 0.000 0.137
0.500 0.500 0.500
0.000 0.000 0.000
0.000 0.500 0.641
0.500 0.000 0.359
0.500 0.500 0.000
```

Results
The energy relative to the elements is -20.60 kcal/mol of atoms. Its calculated volume is 19.675 A^3/atom. For the density of states at the Fermi level, the calculation gives 5.08 states/eV/f.u. Its crystal system is tetragonal.

***

Record 7
Computed, not measured: a relaxed structure of Na2TlCd16 at the PBE-GGA level of DFT.

Structure (POSCAR):
```
Na2TlCd16
1.0
5.182 2.992 5.031
-5.182 2.992 5.031
0.000 -5.984 5.031
Na Tl Cd
2 1 16
direct
0.000 0.000 0.000
0.318 0.318 0.318
0.554 0.554 0.554
0.022 0.022 0.498
0.022 0.498 0.022
0.150 0.671 0.671
0.302 0.302 0.823
0.302 0.823 0.302
0.360 0.660 0.966
0.360 0.966 0.660
0.498 0.022 0.022
0.660 0.360 0.966
0.660 0.966 0.360
0.671 0.150 0.671
0.671 0.671 0.150
0.763 0.763 0.763
0.823 0.302 0.302
0.966 0.360 0.660
0.966 0.660 0.360
```

Results
The energy relative to the elements is -0.61 kcal/mol of atoms. Its calculated volume is 24.632 A^3/atom. For the density of states at the Fermi level, the calculation gives 4.91 states/eV/f.u. Its crystal system is trigonal.

***

Record 8
Computed, not measured: a relaxed structure of CeGaNi2Sn2 at the PBE-GGA level of DFT.

Structure (POSCAR):
```
CeGaNi2Sn2
1.0
4.490 0.000 0.000
0.000 4.490 0.000
0.000 0.000 6.050
Ce Ga Ni Sn
1 1 2 2
direct
0.000 0.000 0.000
0.000 0.000 0.500
0.000 0.500 0.500
0.500 0.000 0.500
0.500 0.500 0.242
0.500 0.500 0.758
```

Results
The energy relative to the elements is -6.69 kcal/mol of atoms. Its calculated volume is 20.327 A^3/atom. For the density of states at the Fermi level, the calculation gives 8.62 states/eV/f.u. Its crystal system is tetragonal.